(1)
# HoPuCu10

A relaxed HoPuCu10 crystal (PBE-GGA, Alexandria).

```
HoPuCu10
1.0
4.069 0.000 0.000
0.000 5.049 0.000
0.000 0.000 8.710
Ho Pu Cu
1 1 10
direct
0.000 0.000 0.000
0.000 0.500 0.500
0.000 0.000 0.331
0.000 0.500 0.836
0.000 0.500 0.164
0.000 0.000 0.669
0.500 0.000 0.500
0.500 0.500 0.000
0.500 0.248 0.247
0.500 0.752 0.753
0.500 0.752 0.247
0.500 0.248 0.753
```

Results
ΔE_f in eV per atom: -0.11
DOS(E_F) in states/eV per atom: 1.502
Total DFT energy (no corrections) in eV per cell: -61.1
M_tot in μB/f.u.: 6.0

***

(2)
# NaIn2HgRh

A relaxed NaIn2HgRh crystal (PBE-GGA, Alexandria).

```
NaIn2HgRh
1.0
5.125 0.000 0.000
0.000 5.125 0.000
0.000 0.000 5.365
Na Rh Hg In
1 1 1 2
direct
0.500 0.500 0.500
0.000 0.000 0.000
0.000 0.000 0.500
0.000 0.500 0.000
0.500 0.000 0.000
```

Results
ΔE_f in eV per atom: -0.14
DOS(E_F) in states/eV per atom: 0.537
Total DFT energy (no corrections) in eV per cell: -15.2
M_tot in μB/f.u.: 0.0

***

(3)
# HfAlTl2Re

A relaxed HfAlTl2Re crystal (PBE-GGA, Alexandria).

```
HfAlTl2Re
1.0
-3.673 -3.721 0.445
1.558 -1.017 4.353
-3.325 3.524 2.014
Re Tl Hf Al
1 2 1 1
direct
0.000 0.000 0.000
0.000 0.000 0.500
0.500 0.000 0.000
0.500 0.500 0.500
0.000 0.500 0.000
```

Results
ΔE_f in eV per atom: 1.10
DOS(E_F) in states/eV per atom: 0.970
Total DFT energy (no corrections) in eV per cell: -25.4
M_tot in μB/f.u.: 0.1

***

(4)
# LiMg3Cd3Cu2

A relaxed LiMg3Cd3Cu2 crystal (PBE-GGA, Alexandria).

```
LiMg3Cd3Cu2
1.0
-2.990 0.777 0.014
-1.954 -7.539 0.956
1.216 4.563 6.266
Li Mg Cd Cu
1 3 3 2
direct
0.000 0.000 0.000
0.000 0.623 0.623
0.000 0.000 0.377
0.000 0.377 0.000
0.500 0.703 0.000
0.500 0.000 0.703
0.500 0.297 0.297
0.500 0.667 0.333
0.500 0.333 0.667
```

Results
ΔE_f in eV per atom: -0.09
DOS(E_F) in states/eV per atom: 0.295
Total DFT energy (no corrections) in eV per cell: -18.5
M_tot in μB/f.u.: 0.0